Record 1
{
  "formula": "Ca3VSe",
  "functional": "PBE",
  "state": "relaxed",
  "cell": [[5.687, 0.000, 0.000], [0.000, 5.687, 0.000], [0.000, 0.000, 5.687]],
  "species": ["Ca", "Ca", "Ca", "Se", "V"],
  "frac_coords": [[0.000, 0.500, 0.000], [0.000, 0.000, 0.500], [0.500, 0.000, 0.000], [0.500, 0.500, 0.500], [0.000, 0.000, 0.000]],
  "e_form_raw_ev_per_fu": 2.02,
  "e_above_lowest_polymorph_mev_per_atom": 541
}

=====

Record 2
{
  "formula": "InMo2Cl",
  "functional": "PBE",
  "state": "relaxed",
  "cell": [[-1.865, -3.956, -3.476], [-0.800, -5.012, 2.336], [-1.322, 5.407, -0.483]],
  "species": ["Cl", "In", "Mo", "Mo"],
  "frac_coords": [[0.750, 0.250, 0.500], [0.250, 0.750, 0.500], [0.980, 0.980, 0.000], [0.520, 0.520, 0.000]],
  "e_form_raw_ev_per_fu": 2.21,
  "e_above_lowest_polymorph_mev_per_atom": 432
}

=====

Record 3
{
  "formula": "Ac2PrTl9",
  "functional": "PBE",
  "state": "relaxed",
  "cell": [[-1.054, 3.165, 3.673], [-0.581, -3.814, 3.119], [14.426, 0.697, 3.539]],
  "species": ["Ac", "Ac", "Pr", "Tl", "Tl", "Tl", "Tl", "Tl", "Tl", "Tl", "Tl", "Tl"],
  "frac_coords": [[0.000, 0.000, 0.328], [0.000, 0.000, 0.672], [0.000, 0.000, 0.000], [0.500, 0.500, 0.000], [0.500, 0.500, 0.332], [0.500, 0.500, 0.668], [0.500, 0.000, 0.160], [0.500, 0.000, 0.500], [0.500, 0.000, 0.840], [0.000, 0.500, 0.160], [0.000, 0.500, 0.500], [0.000, 0.500, 0.840]],
  "formation_energy_ev_per_atom": -0.319
}

=====

Record 4
{
  "formula": "Dy6Sb2C",
  "functional": "PBE",
  "state": "relaxed",
  "cell": [[6.395, 0.000, 0.163], [0.000, 7.857, 0.000], [-0.560, 0.000, 9.632]],
  "species": ["Dy", "Dy", "Dy", "Dy", "Dy", "Dy", "Dy", "Dy", "Dy", "Dy", "Dy", "Dy", "Sb", "Sb", "Sb", "Sb", "C", "C"],
  "frac_coords": [[0.891, 0.974, 0.251], [0.863, 0.711, 0.545], [0.828, 0.664, 0.959], [0.672, 0.164, 0.541], [0.637, 0.211, 0.955], [0.609, 0.474, 0.249], [0.109, 0.026, 0.749], [0.137, 0.289, 0.455], [0.172, 0.336, 0.041], [0.328, 0.836, 0.459], [0.363, 0.789, 0.045], [0.391, 0.526, 0.751], [0.925, 0.393, 0.743], [0.575, 0.893, 0.757], [0.425, 0.107, 0.243], [0.075, 0.607, 0.257], [0.500, 0.500, 0.000], [0.000, 0.000, 0.500]],
  "e_form_raw_ev_per_fu": -5.42
}

=====

Record 5
{
  "formula": "S2BrO",
  "functional": "PBE",
  "state": "relaxed",
  "cell": [[2.146, 0.000, 7.561], [-1.073, 1.858, 7.561], [-1.073, -1.858, 7.561]],
  "species": ["S", "S", "O", "Br"],
  "frac_coords": [[0.929, 0.929, 0.929], [0.071, 0.071, 0.071], [0.000, 0.000, 0.000], [0.500, 0.500, 0.500]],
  "e_form_raw_ev_per_fu": 1.65,
  "e_above_lowest_polymorph_mev_per_atom": 0
}

=====

Record 6
{
  "formula": "LaTb4Ge4",
  "functional": "PBE",
  "state": "relaxed",
  "cell": [[-2.300, 5.057, -1.744], [-7.004, -4.662, -4.281], [-5.114, 0.406, 7.925]],
  "species": ["La", "La", "Tb", "Tb", "Tb", "Tb", "Tb", "Tb", "Tb", "Tb", "Ge", "Ge", "Ge", "Ge", "Ge", "Ge", "Ge", "Ge"],
  "frac_coords": [[0.000, 0.000, 0.000], [0.500, 0.500, 0.500], [0.387, 0.348, 0.892], [0.887, 0.608, 0.848], [0.387, 0.652, 0.108], [0.113, 0.152, 0.608], [0.613, 0.892, 0.652], [0.113, 0.848, 0.392], [0.887, 0.392, 0.152], [0.613, 0.108, 0.348], [0.606, 0.795, 0.351], [0.606, 0.205, 0.649], [0.106, 0.851, 0.705], [0.894, 0.295, 0.851], [0.894, 0.705, 0.149], [0.394, 0.351, 0.205], [0.394, 0.649, 0.795], [0.106, 0.149, 0.295]],
  "formation_energy_ev_per_atom": -0.595
}

=====

Record 7
{
  "formula": "BaMgZnAg2",
  "functional": "PBE",
  "state": "relaxed",
  "cell": [[4.664, 0.000, 0.000], [0.000, 4.302, 0.000], [-2.332, -2.151, 6.294]],
  "species": ["Ba", "Mg", "Zn", "Ag", "Ag"],
  "frac_coords": [[0.443, 0.443, 0.886], [0.196, 0.696, 0.391], [0.828, 0.828, 0.657], [0.695, 0.195, 0.389], [0.050, 0.050, 0.101]],
  "formation_energy_ev_per_atom": -0.200
}

=====

Record 8
{
  "formula": "MoAsOs2",
  "functional": "PBE",
  "state": "relaxed",
  "cell": [[-0.314, 1.103, -4.248], [2.408, -2.124, -3.009], [-1.947, -2.734, -2.845]],
  "species": ["Mo", "Os", "Os", "As"],
  "frac_coords": [[0.750, 0.750, 0.750], [0.000, 0.000, 0.000], [0.250, 0.250, 0.250], [0.500, 0.500, 0.500]],
  "formation_energy_ev_per_atom": 0.435
}

=====

Record 9
{
  "formula": "Nd2SmDyTh",
  "functional": "PBE",
  "state": "relaxed",
  "cell": [[8.496, 0.000, 0.000], [0.000, 6.357, 0.330], [0.000, -1.865, 6.383]],
  "species": ["Nd", "Nd", "Nd", "Nd", "Sm", "Sm", "Dy", "Dy", "Th", "Th"],
  "frac_coords": [[0.674, 0.716, 0.656], [0.674, 0.284, 0.844], [0.326, 0.716, 0.156], [0.326, 0.284, 0.344], [0.662, 0.000, 0.250], [0.338, 0.000, 0.750], [0.083, 0.500, 0.750], [0.917, 0.500, 0.250], [0.000, 0.000, 0.000], [0.000, 0.000, 0.500]],
  "formation_energy_ev_per_atom": 0.249
}

=====

Record 10
{
  "formula": "AcTb5Nd5",
  "functional": "PBE",
  "state": "relaxed",
  "cell": [[-4.510, 4.218, 0.943], [-1.390, -6.089, -0.101], [1.852, -0.615, 11.603]],
  "species": ["Ac", "Tb", "Tb", "Tb", "Tb", "Tb", "Nd", "Nd", "Nd", "Nd", "Nd"],
  "frac_coords": [[0.333, 0.667, 0.000], [0.333, 0.167, 0.500], [0.000, 0.000, 0.266], [0.833, 0.667, 0.500], [0.833, 0.167, 0.500], [0.000, 0.000, 0.734], [0.667, 0.333, 0.160], [0.667, 0.333, 0.840], [0.333, 0.667, 0.331], [0.333, 0.667, 0.669], [0.000, 0.000, 0.000]],
  "formation_energy_ev_per_atom": 0.271
}

=====

Record 11
{
  "formula": "AlTlGe2Br",
  "functional": "PBE",
  "state": "relaxed",
  "cell": [[-4.537, 1.686, 0.049], [-0.711, -2.084, 5.804], [1.593, 4.237, 1.716]],
  "species": ["Tl", "Ge", "Ge", "Br", "Al"],
  "frac_coords": [[0.000, 0.500, 0.000], [0.000, 0.000, 0.500], [0.500, 0.000, 0.000], [0.500, 0.500, 0.500], [0.000, 0.000, 0.000]],
  "e_form_raw_ev_per_fu": 1.42
}

=====

Record 12
{
  "formula": "EuAl4Hg",
  "functional": "PBE",
  "state": "relaxed",
  "cell": [[5.647, 0.000, 0.000], [2.824, 4.891, 0.000], [2.824, 1.630, 4.611]],
  "species": ["Eu", "Hg", "Al", "Al", "Al", "Al"],
  "frac_coords": [[0.000, 0.000, 0.000], [0.250, 0.250, 0.250], [0.626, 0.626, 0.123], [0.626, 0.123, 0.626], [0.626, 0.626, 0.626], [0.123, 0.626, 0.626]],
  "formation_energy_ev_per_atom": -0.101
}

=====

Record 13
{
  "formula": "KRb2TlZn",
  "functional": "PBE",
  "state": "relaxed",
  "cell": [[-3.908, -6.311, 1.032], [5.024, -2.793, 1.947], [-1.550, 2.108, 7.023]],
  "species": ["K", "Tl", "Zn", "Rb", "Rb"],
  "frac_coords": [[0.000, 0.000, 0.000], [0.500, 0.500, 0.500], [0.000, 0.500, 0.000], [0.000, 0.000, 0.500], [0.500, 0.000, 0.000]],
  "formation_energy_ev_per_atom": 0.465,
  "e_above_lowest_polymorph_mev_per_atom": 377
}

=====

Record 14
{
  "formula": "MgAg",
  "functional": "PBE",
  "state": "relaxed",
  "cell": [[5.496, 0.000, 0.000], [0.000, 5.496, 0.000], [0.000, 0.000, 5.580]],
  "species": ["Mg", "Mg", "Mg", "Mg", "Ag", "Ag", "Ag", "Ag"],
  "frac_coords": [[0.194, 0.806, 0.000], [0.694, 0.694, 0.500], [0.306, 0.306, 0.500], [0.806, 0.194, 0.000], [0.312, 0.312, 0.000], [0.812, 0.188, 0.500], [0.188, 0.812, 0.500], [0.688, 0.688, 0.000]],
  "formation_energy_ev_per_atom": 0.017
}

=====

Record 15
{
  "formula": "BaYMg2Pt",
  "functional": "PBE",
  "state": "relaxed",
  "cell": [[5.313, 0.000, 0.000], [0.000, 5.313, 0.000], [0.000, 0.000, 5.375]],
  "species": ["Y", "Mg", "Mg", "Ba", "Pt"],
  "frac_coords": [[0.000, 0.000, 0.500], [0.000, 0.500, 0.000], [0.500, 0.000, 0.000], [0.500, 0.500, 0.500], [0.000, 0.000, 0.000]],
  "formation_energy_ev_per_atom": -0.425,
  "e_above_lowest_polymorph_mev_per_atom": 0
}

=====

Record 16
{
  "formula": "Na4HoZr3S8",
  "functional": "PBE",
  "state": "relaxed",
  "cell": [[-6.292, 0.518, -4.067], [4.139, -1.904, -6.646], [0.335, -4.745, 5.812]],
  "species": ["Na", "Na", "Na", "Na", "Ho", "Zr", "Zr", "Zr", "S", "S", "S", "S", "S", "S", "S", "S"],
  "frac_coords": [[0.500, 0.000, 0.000], [0.500, 0.000, 0.500], [0.000, 0.000, 0.000], [0.000, 0.000, 0.500], [0.000, 0.500, 0.000], [0.500, 0.500, 0.000], [0.500, 0.500, 0.500], [0.000, 0.500, 0.500], [0.246, 0.727, 0.980], [0.246, 0.727, 0.493], [0.259, 0.276, 0.517], [0.734, 0.727, 0.980], [0.266, 0.273, 0.020], [0.741, 0.724, 0.483], [0.754, 0.273, 0.507], [0.754, 0.273, 0.020]],
  "e_form_raw_ev_per_fu": -24.95
}

=====

Record 17
{
  "formula": "AcLa4Tb3",
  "functional": "PBE",
  "state": "relaxed",
  "cell": [[5.615, 0.000, -1.981], [-0.600, 5.926, -1.701], [-0.018, -0.524, 8.899]],
  "species": ["Ac", "Tb", "Tb", "Tb", "La", "La", "La", "La"],
  "frac_coords": [[0.500, 0.000, 0.000], [0.000, 0.500, 0.000], [0.867, 0.808, 0.733], [0.133, 0.192, 0.267], [0.757, 0.186, 0.514], [0.243, 0.814, 0.486], [0.362, 0.411, 0.725], [0.638, 0.589, 0.275]],
  "formation_energy_ev_per_atom": 0.089
}

=====

Record 18
{
  "formula": "Ni5AsPt",
  "functional": "PBE",
  "state": "relaxed",
  "cell": [[6.753, -0.125, 0.000], [-3.272, 8.315, 0.000], [0.000, 0.000, 6.150]],
  "species": ["Ni", "Ni", "Ni", "Ni", "Ni", "Ni", "Ni", "Ni", "Ni", "Ni", "Ni", "Ni", "Ni", "Ni", "Ni", "Ni", "Ni", "Ni", "Ni", "Ni", "As", "As", "As", "As", "Pt", "Pt", "Pt", "Pt"],
  "frac_coords": [[0.278, 0.421, 0.990], [0.222, 0.079, 0.490], [0.722, 0.579, 0.010], [0.778, 0.921, 0.510], [0.067, 0.472, 0.675], [0.433, 0.028, 0.175], [0.933, 0.528, 0.325], [0.567, 0.972, 0.825], [0.038, 0.281, 0.360], [0.462, 0.219, 0.860], [0.962, 0.719, 0.640], [0.538, 0.781, 0.140], [0.813, 0.055, 0.146], [0.687, 0.445, 0.646], [0.187, 0.945, 0.854], [0.313, 0.555, 0.354], [0.988, 0.156, 0.767], [0.512, 0.344, 0.267], [0.012, 0.844, 0.233], [0.488, 0.656, 0.733], [0.316, 0.352, 0.617], [0.184, 0.148, 0.117], [0.684, 0.648, 0.383], [0.816, 0.852, 0.883], [0.838, 0.332, 0.009], [0.662, 0.168, 0.509], [0.162, 0.668, 0.991], [0.338, 0.832, 0.491]],
  "formation_energy_ev_per_atom": -0.070
}

=====

Record 19
{
  "formula": "K2Rb5Au4",
  "functional": "PBE",
  "state": "relaxed",
  "cell": [[4.876, -0.001, -1.074], [-1.041, 11.046, -4.716], [-0.292, -2.172, 10.283]],
  "species": ["K", "K", "Rb", "Rb", "Rb", "Rb", "Rb", "Au", "Au", "Au", "Au"],
  "frac_coords": [[0.544, 0.694, 0.088], [0.456, 0.306, 0.912], [0.248, 0.841, 0.496], [0.752, 0.159, 0.504], [0.144, 0.359, 0.288], [0.500, 0.000, 0.000], [0.856, 0.641, 0.712], [0.660, 0.577, 0.320], [0.098, 0.925, 0.195], [0.340, 0.423, 0.680], [0.902, 0.075, 0.805]],
  "formation_energy_ev_per_atom": -0.202,
  "e_above_lowest_polymorph_mev_per_atom": 0
}

=====

Record 20
{
  "formula": "LaZn4Ag",
  "functional": "PBE",
  "state": "relaxed",
  "cell": [[0.000, 3.860, 3.860], [3.860, 0.000, 3.860], [3.860, 3.860, 0.000]],
  "species": ["La", "Zn", "Zn", "Zn", "Zn", "Ag"],
  "frac_coords": [[0.000, 0.000, 0.000], [0.873, 0.376, 0.376], [0.376, 0.376, 0.873], [0.376, 0.873, 0.376], [0.376, 0.376, 0.376], [0.750, 0.750, 0.750]],
  "formation_energy_ev_per_atom": -0.171,
  "e_above_lowest_polymorph_mev_per_atom": 23
}

=====

Record 21
{
  "formula": "Mg2TaCo",
  "functional": "PBE",
  "state": "relaxed",
  "cell": [[5.353, -0.001, 0.000], [2.715, 4.614, 0.000], [-4.034, -2.307, 2.658]],
  "species": ["Co", "Mg", "Mg", "Ta"],
  "frac_coords": [[0.750, 0.250, 0.500], [0.000, 0.000, 0.000], [0.500, 0.500, 0.000], [0.250, 0.750, 0.500]],
  "formation_energy_ev_per_atom": 0.355,
  "e_above_lowest_polymorph_mev_per_atom": 326
}

=====

Record 22
{
  "formula": "TlZnCoW2",
  "functional": "PBE",
  "state": "relaxed",
  "cell": [[5.045, 0.000, 0.000], [0.000, 4.612, 0.000], [0.000, 0.000, 5.045]],
  "species": ["Tl", "Co", "Zn", "W", "W"],
  "frac_coords": [[0.000, 0.000, 0.000], [0.500, 0.500, 0.500], [0.000, 0.500, 0.000], [0.000, 0.000, 0.500], [0.500, 0.000, 0.000]],
  "formation_energy_ev_per_atom": 3.065
}

=====

Record 23
{
  "formula": "La2CePmBi5",
  "functional": "PBE",
  "state": "relaxed",
  "cell": [[5.582, 0.000, 0.000], [0.000, 5.582, 0.000], [0.000, 0.000, 12.063]],
  "species": ["La", "La", "Ce", "Pm", "Bi", "Bi", "Bi", "Bi", "Bi"],
  "frac_coords": [[0.500, 0.500, 0.278], [0.500, 0.500, 0.722], [0.000, 0.000, 0.500], [0.000, 0.000, 0.000], [0.000, 0.500, 0.500], [0.500, 0.000, 0.500], [0.000, 0.000, 0.752], [0.000, 0.000, 0.248], [0.500, 0.500, 0.000]],
  "formation_energy_ev_per_atom": -0.223
}

=====

| no. | E_tot (eV per atom) |
| --- | --- |
| 1 | -3.317 |
| 2 | -6.008 |
| 3 | -3.177 |
| 4 | -5.611 |
| 5 | -3.309 |
| 6 | -5.252 |
| 7 | -2.299 |
| 8 | -9.050 |
| 9 | -5.007 |
| 10 | -4.374 |
| 11 | -3.118 |
| 12 | -4.358 |
| 13 | -0.870 |
| 14 | -2.206 |
| 15 | -3.948 |
| 16 | -5.842 |
| 17 | -4.624 |
| 18 | -5.726 |
| 19 | -2.033 |
| 20 | -2.317 |
| 21 | -5.182 |
| 22 | -4.266 |
| 23 | -4.661 |